CrSnBr2 PBE optimized geometry; total magnetic moment = 0.145 μB per atom; ΔE_f (raw) = 189.7 meV/atom; Fermi-level density of states = 10.3 states/eV/cell
1.0
8.950 0.000 0.000
0.000 8.950 0.000
4.475 4.475 2.657
Sn Br Cr
2 4 2
Direct
0.000 0.000 0.000
0.750 0.250 0.500
0.375 0.515 0.750
0.875 0.735 0.750
0.265 0.625 0.250
0.485 0.125 0.250
0.250 0.750 0.500
0.500 0.500 0.000